First-principles (meta-GGA SCAN) data for SrIN2O at its PBEsol-relaxed geometry, as listed in the Alexandria database.

Cell lengths 5.010, 5.010, 6.361 Å; angles 90.00, 90.00, 90.00 degrees
Space group P4/mmm (No. 123)
Inequivalent atoms, fractional coordinates:
Sr 0.000 0.000 0.000 [1 per cell]
I 0.000 0.000 0.500 [1 per cell]
N 0.000 0.500 0.000 [2 per cell]
O 0.500 0.500 0.500 [1 per cell]

Output
For the total magnetic moment, the calculation gives 7.0 μB per formula unit. The uncorrected formation energy comes out at 1.342 eV per atom. The value obtained for the mass density is 2.7 g cm⁻³.